PBE TmSc5Al3, optimized geometry; Fermi-level density of states = 1.0575 states/eV/atom; space group = P6_3/mcm, No. 193; energy = -5.5956 eV/atom; energy of formation = -0.334 eV/atom
1.0
-3.141 -4.503 -2.948
-2.304 -3.323 7.532
-4.922 5.893 -3.757
Tm Sc Al
2 10 6
Direct
0.000 0.000 0.000
0.500 0.000 0.000
0.000 0.667 0.333
0.500 0.333 0.667
0.000 0.333 0.667
0.500 0.667 0.333
0.750 0.662 0.662
0.750 0.000 0.338
0.750 0.338 0.000
0.250 0.338 0.338
0.250 0.000 0.662
0.250 0.662 0.000
0.750 0.334 0.334
0.750 0.000 0.666
0.750 0.666 0.000
0.250 0.666 0.666
0.250 0.000 0.334
0.250 0.334 0.000